(1)
CePmSnPd | PBE | optimized geometry

Geometry as CIF:
```
data_CePmSnPd
_cell_length_a 5.304
_cell_length_b 5.304
_cell_length_c 5.304
_cell_angle_alpha 60.00
_cell_angle_beta 60.00
_cell_angle_gamma 60.00
_space_group_name_H-M_alt 'P 1'
_space_group_IT_number 1
loop_
_space_group_symop_operation_xyz
'x,y,z'
loop_
_atom_site_label
_atom_site_type_symbol
_atom_site_fract_x
_atom_site_fract_y
_atom_site_fract_z
Pd1 Pd 0.750 0.750 0.750
Sn1 Sn 0.250 0.250 0.250
Ce1 Ce 0.500 0.500 0.500
Pm1 Pm 0.000 0.000 0.000
```

Properties
Formation energy (kJ/mol of atoms): -57.1
Density of states at the Fermi level (states/eV/f.u.): 9.4

(2)
Sc3Zn3O | PBE | optimized geometry

Geometry as CIF:
```
data_Sc3Zn3O
_cell_length_a 8.533
_cell_length_b 8.530
_cell_length_c 8.530
_cell_angle_alpha 59.98
_cell_angle_beta 59.99
_cell_angle_gamma 59.99
_space_group_name_H-M_alt 'P 1'
_space_group_IT_number 1
loop_
_space_group_symop_operation_xyz
'x,y,z'
loop_
_atom_site_label
_atom_site_type_symbol
_atom_site_fract_x
_atom_site_fract_y
_atom_site_fract_z
Sc1 Sc 0.063 0.437 0.062
Sc2 Sc 0.187 0.188 0.813
Sc3 Sc 0.813 0.813 0.187
Sc4 Sc 0.813 0.187 0.813
Sc5 Sc 0.813 0.187 0.187
Sc6 Sc 0.187 0.813 0.813
Sc7 Sc 0.437 0.063 0.063
Sc8 Sc 0.063 0.062 0.437
Sc9 Sc 0.437 0.437 0.063
Sc10 Sc 0.063 0.437 0.437
Sc11 Sc 0.187 0.813 0.188
Sc12 Sc 0.437 0.063 0.437
Zn1 Zn 0.832 0.832 0.832
Zn2 Zn 0.418 0.418 0.746
Zn3 Zn 0.418 0.746 0.418
Zn4 Zn 0.746 0.418 0.418
Zn5 Zn 0.832 0.504 0.832
Zn6 Zn 0.504 0.832 0.832
Zn7 Zn 0.832 0.832 0.504
Zn8 Zn 0.418 0.418 0.418
Zn9 Zn 0.625 0.625 0.625
Zn10 Zn 0.625 0.625 0.125
Zn11 Zn 0.625 0.125 0.625
Zn12 Zn 0.125 0.625 0.625
O1 O 0.125 0.125 0.125
O2 O 0.125 0.125 0.625
O3 O 0.125 0.625 0.125
O4 O 0.625 0.125 0.125
```

Properties
Energy relative to the elements, uncorrected (eV per atom): -1.134
Density of states at the Fermi level (states/eV/f.u.): 2.8

(3)
LaSc2Ir | PBE | optimized geometry

Geometry as CIF:
```
data_LaSc2Ir
_cell_length_a 3.292
_cell_length_b 3.292
_cell_length_c 8.612
_cell_angle_alpha 90.00
_cell_angle_beta 90.00
_cell_angle_gamma 90.02
_space_group_name_H-M_alt 'P 1'
_space_group_IT_number 1
loop_
_space_group_symop_operation_xyz
'x,y,z'
loop_
_atom_site_label
_atom_site_type_symbol
_atom_site_fract_x
_atom_site_fract_y
_atom_site_fract_z
Ir1 Ir 0.500 0.500 0.250
La1 La 0.500 0.500 0.750
Sc1 Sc 0.000 0.000 0.069
Sc2 Sc 0.000 0.000 0.431
```

Properties
Energy above the lowest structure with this stoichiometry (meV/atom): 0
Formation energy (kJ/mol of atoms): -47.4
Density of states at the Fermi level (states/eV/f.u.): 4.3

(4)
InRh5 | PBE | optimized geometry

Geometry as CIF:
```
data_InRh5
_cell_length_a 2.810
_cell_length_b 2.810
_cell_length_c 11.473
_cell_angle_alpha 90.00
_cell_angle_beta 90.00
_cell_angle_gamma 90.00
_space_group_name_H-M_alt 'P 1'
_space_group_IT_number 1
loop_
_space_group_symop_operation_xyz
'x,y,z'
loop_
_atom_site_label
_atom_site_type_symbol
_atom_site_fract_x
_atom_site_fract_y
_atom_site_fract_z
In1 In 0.500 0.500 0.000
Rh1 Rh 0.000 0.000 0.823
Rh2 Rh 0.000 0.000 0.177
Rh3 Rh 0.500 0.500 0.663
Rh4 Rh 0.500 0.500 0.337
Rh5 Rh 0.000 0.000 0.500
```

Properties
Formation energy (kJ/mol of atoms): -1.2
Density of states at the Fermi level (states/eV/f.u.): 9.1

(5)
Ac6HRu2 | PBE | optimized geometry

Geometry as CIF:
```
data_Ac6HRu2
_cell_length_a 4.297
_cell_length_b 8.275
_cell_length_c 9.198
_cell_angle_alpha 101.90
_cell_angle_beta 103.51
_cell_angle_gamma 90.00
_space_group_name_H-M_alt 'P 1'
_space_group_IT_number 1
loop_
_space_group_symop_operation_xyz
'x,y,z'
loop_
_atom_site_label
_atom_site_type_symbol
_atom_site_fract_x
_atom_site_fract_y
_atom_site_fract_z
Ac1 Ac 0.341 0.921 0.683
Ac2 Ac 0.998 0.245 0.997
Ac3 Ac 0.667 0.567 0.334
Ac4 Ac 0.002 0.755 0.003
Ac5 Ac 0.659 0.079 0.317
Ac6 Ac 0.333 0.433 0.666
H1 H 0.500 0.000 0.000
Ru1 Ru 0.844 0.691 0.688
Ru2 Ru 0.156 0.309 0.312
```

Properties
DFT total energy (eV/cell): -48.28
Density of states at the Fermi level (states/eV/f.u.): 8.0

(6)
SiPBr2 | PBE | optimized geometry

Geometry as CIF:
```
data_SiPBr2
_cell_length_a 3.593
_cell_length_b 3.570
_cell_length_c 8.934
_cell_angle_alpha 66.96
_cell_angle_beta 90.00
_cell_angle_gamma 90.00
_space_group_name_H-M_alt 'P 1'
_space_group_IT_number 1
loop_
_space_group_symop_operation_xyz
'x,y,z'
loop_
_atom_site_label
_atom_site_type_symbol
_atom_site_fract_x
_atom_site_fract_y
_atom_site_fract_z
Br1 Br 0.000 0.086 0.921
Br2 Br 0.500 0.168 0.328
P1 P 0.000 0.350 0.649
Si1 Si 0.500 0.896 0.602
```

Properties
Energy above the lowest structure with this stoichiometry (meV/atom): 0
Energy relative to the elements, uncorrected (eV per atom): -0.183
Density of states at the Fermi level (states/eV/f.u.): 1.0

(7)
POsAu | PBE | optimized geometry

Geometry as CIF:
```
data_POsAu
_cell_length_a 4.074
_cell_length_b 4.074
_cell_length_c 4.074
_cell_angle_alpha 60.00
_cell_angle_beta 60.00
_cell_angle_gamma 60.00
_space_group_name_H-M_alt 'P 1'
_space_group_IT_number 1
loop_
_space_group_symop_operation_xyz
'x,y,z'
loop_
_atom_site_label
_atom_site_type_symbol
_atom_site_fract_x
_atom_site_fract_y
_atom_site_fract_z
P1 P 0.750 0.750 0.750
Os1 Os 0.500 0.500 0.500
Au1 Au 0.000 0.000 0.000
```

Properties
Energy above the lowest structure with this stoichiometry (meV/atom): 247
Formation energy (kJ/mol of atoms): 38.6
Density of states at the Fermi level (states/eV/f.u.): 2.2

(8)
YMn2ZnNi | PBE | optimized geometry

Geometry as CIF:
```
data_YMn2ZnNi
_cell_length_a 4.623
_cell_length_b 5.029
_cell_length_c 4.623
_cell_angle_alpha 90.00
_cell_angle_beta 90.00
_cell_angle_gamma 90.00
_space_group_name_H-M_alt 'P 1'
_space_group_IT_number 1
loop_
_space_group_symop_operation_xyz
'x,y,z'
loop_
_atom_site_label
_atom_site_type_symbol
_atom_site_fract_x
_atom_site_fract_y
_atom_site_fract_z
Y1 Y 0.000 0.500 0.000
Ni1 Ni 0.000 0.000 0.000
Zn1 Zn 0.500 0.500 0.500
Mn1 Mn 0.000 0.000 0.500
Mn2 Mn 0.500 0.000 0.000
```

Properties
Formation energy (kJ/mol of atoms): 43.5
Density of states at the Fermi level (states/eV/f.u.): 7.5

(9)
TaSiOs2 | PBE | optimized geometry

Geometry as CIF:
```
data_TaSiOs2
_cell_length_a 4.196
_cell_length_b 4.196
_cell_length_c 3.362
_cell_angle_alpha 90.00
_cell_angle_beta 90.00
_cell_angle_gamma 90.00
_space_group_name_H-M_alt 'P 1'
_space_group_IT_number 1
loop_
_space_group_symop_operation_xyz
'x,y,z'
loop_
_atom_site_label
_atom_site_type_symbol
_atom_site_fract_x
_atom_site_fract_y
_atom_site_fract_z
Os1 Os 0.000 0.000 0.000
Os2 Os 0.500 0.500 0.000
Si1 Si 0.500 0.000 0.500
Ta1 Ta 0.000 0.500 0.500
```

Properties
Energy relative to the elements, uncorrected (eV per atom): -0.194
Density of states at the Fermi level (states/eV/f.u.): 1.8

(10)
Pa4GeIrS2 | PBE | optimized geometry

Geometry as CIF:
```
data_Pa4GeIrS2
_cell_length_a 3.887
_cell_length_b 6.925
_cell_length_c 7.100
_cell_angle_alpha 71.56
_cell_angle_beta 90.00
_cell_angle_gamma 90.00
_space_group_name_H-M_alt 'P 1'
_space_group_IT_number 1
loop_
_space_group_symop_operation_xyz
'x,y,z'
loop_
_atom_site_label
_atom_site_type_symbol
_atom_site_fract_x
_atom_site_fract_y
_atom_site_fract_z
Pa1 Pa 0.000 0.749 0.760
Pa2 Pa 0.000 0.251 0.240
Pa3 Pa 0.500 0.761 0.239
Pa4 Pa 0.500 0.239 0.761
Ge1 Ge 0.000 0.500 0.500
Ir1 Ir 0.500 0.500 0.000
S1 S 0.000 0.000 0.000
S2 S 0.500 0.000 0.500
```

Properties
Energy relative to the elements, uncorrected (eV per atom): -1.055
Density of states at the Fermi level (states/eV/f.u.): 12.8

(11)
Pr2DyOsO8 | PBE | optimized geometry

Geometry as CIF:
```
data_Pr2DyOsO8
_cell_length_a 5.198
_cell_length_b 5.202
_cell_length_c 6.951
_cell_angle_alpha 89.99
_cell_angle_beta 89.99
_cell_angle_gamma 90.57
_space_group_name_H-M_alt 'P 1'
_space_group_IT_number 1
loop_
_space_group_symop_operation_xyz
'x,y,z'
loop_
_atom_site_label
_atom_site_type_symbol
_atom_site_fract_x
_atom_site_fract_y
_atom_site_fract_z
Pr1 Pr 0.499 0.499 0.750
Pr2 Pr 0.501 0.501 0.250
Dy1 Dy 0.000 0.000 0.500
Os1 Os 0.000 0.000 0.000
O1 O 0.175 0.824 0.209
O2 O 0.746 0.747 0.999
O3 O 0.824 0.176 0.209
O4 O 0.825 0.176 0.791
O5 O 0.254 0.253 0.001
O6 O 0.176 0.824 0.791
O7 O 0.699 0.699 0.500
O8 O 0.301 0.301 0.500
```

Properties
Energy relative to the elements, uncorrected (eV per atom): -2.414
Density of states at the Fermi level (states/eV/f.u.): 1.8